Computed, not measured: an optimized crystal structure of SrTcO5 at the PBE level of DFT.

```
14
Lattice="4.635 -4.679 0.000 4.635 4.679 0.000 -4.401 0.000 8.273" Properties=species:S:1:pos:R:3 pbc="T T T"
Sr 2.318 2.340 0.000
Sr 0.117 -2.340 4.137
Tc 1.334 3.624 6.205
Tc 3.535 -3.624 2.068
O 0.122 2.624 6.945
O -0.365 0.047 3.284
O -2.565 -0.047 7.420
O 3.535 1.865 2.068
O 2.547 2.624 5.465
O 2.322 -2.624 2.808
O 1.334 -1.865 6.205
O 7.435 0.047 0.853
O 5.234 -0.047 4.989
O 4.748 -2.624 1.328
```

symmetry = C2/c
polymorph energy (0 for the lowest one) = 0.000 eV per formula unit
calculated volume = 358.9 Å³ per cell
magnetic moment = 2.0 μB/cell
DOS(E_F) = 0.29 states/eV per cell
electronic total energy = -96.296 eV/cell
formation energy without anion corrections = -1.616 eV per atom

---

Computed, not measured: an optimized crystal structure of SrTc2TeO8 at the PBE level of DFT.

```
12
Lattice="3.906 -3.188 0.000 3.906 3.188 0.000 -1.258 0.000 7.367" Properties=species:S:1:pos:R:3 pbc="T T T"
Sr 0.000 0.000 0.000
Tc 2.456 0.000 5.703
Tc 4.097 0.000 1.664
Te -0.629 0.000 3.684
O 3.380 1.683 1.943
O 3.173 1.683 5.424
O 1.409 0.000 4.147
O 1.359 0.000 7.157
O 5.194 0.000 0.211
O 5.143 0.000 3.220
O 3.380 -1.683 1.943
O 3.173 -1.683 5.424
```

symmetry = C2/m
calculated volume = 183.5 Å³ per cell
magnetic moment = 2.2 μB/cell
DOS(E_F) = 3.00 states/eV per cell
electronic total energy = -82.430 eV/cell
formation energy without anion corrections = -1.434 eV per atom

---

Computed, not measured: an optimized crystal structure of SrTcTeO6 at the PBE level of DFT.

```
9
Lattice="5.334 0.000 0.000 -2.667 4.619 0.000 0.000 0.000 5.404" Properties=species:S:1:pos:R:3 pbc="T T T"
Sr 0.000 0.000 0.000
Tc 0.000 3.079 2.702
Te 2.667 1.540 2.702
O 1.993 0.041 3.796
O 1.032 1.706 1.608
O 3.341 0.041 1.608
O 1.706 2.873 3.796
O 4.302 1.706 3.796
O 3.628 2.873 1.608
```

symmetry = P312
calculated volume = 133.2 Å³ per cell
magnetic moment = 3.0 μB/cell
DOS(E_F) = 2.53 states/eV per cell
electronic total energy = -60.016 eV/cell
formation energy without anion corrections = -1.675 eV per atom

---

Computed, not measured: an optimized crystal structure of SrTi2TcO8 at the PBE level of DFT.

```
12
Lattice="3.894 -3.136 0.000 3.894 3.136 0.000 -1.290 0.000 6.817" Properties=species:S:1:pos:R:3 pbc="T T T"
Sr 0.000 0.000 0.000
Ti 2.511 0.000 5.346
Ti 3.987 0.000 1.471
Tc -0.645 0.000 3.408
O 2.918 1.727 4.790
O 3.580 1.727 2.027
O 1.098 0.000 3.891
O 1.351 0.000 6.774
O 5.147 0.000 0.043
O 5.401 0.000 2.925
O 2.918 -1.727 4.790
O 3.580 -1.727 2.027
```

symmetry = C2/m
calculated volume = 166.5 Å³ per cell
magnetic moment = 1.0 μB/cell
electronic total energy = -96.354 eV/cell
formation energy without anion corrections = -2.404 eV per atom

---

Computed, not measured: an optimized crystal structure of Sr2TiTcO6 at the PBE level of DFT.

```
10
Lattice="0.000 3.972 3.972 3.972 0.000 3.972 3.972 3.972 0.000" Properties=species:S:1:pos:R:3 pbc="T T T"
Sr 1.986 1.986 1.986
Sr 5.958 5.958 5.958
Ti 0.000 0.000 0.000
Tc 3.972 3.972 3.972
O 3.972 3.972 1.969
O 3.972 1.969 3.972
O 5.975 3.972 3.972
O 1.969 3.972 3.972
O 3.972 5.975 3.972
O 3.972 3.972 5.975
```

symmetry = Fm-3m
calculated volume = 125.3 Å³ per cell
magnetic moment = 2.3 μB/cell
DOS(E_F) = 3.44 states/eV per cell
electronic total energy = -77.331 eV/cell
formation energy without anion corrections = -2.596 eV per atom

---

Computed, not measured: an optimized crystal structure of Sr2Tl2TcO6 at the PBE level of DFT.

```
11
Lattice="3.082 -5.236 0.000 3.082 5.236 0.000 -1.651 0.000 6.293" Properties=species:S:1:pos:R:3 pbc="T T T"
Sr 3.082 3.526 0.000
Sr 3.082 -3.526 0.000
Tl 2.256 1.665 3.146
Tl 2.256 -1.665 3.146
Tc 3.082 0.000 0.000
O 0.589 1.403 5.244
O 1.481 0.000 1.237
O 0.589 -1.403 5.244
O 3.923 1.403 1.048
O 3.032 0.000 5.056
O 3.923 -1.403 1.048
```

symmetry = C2/m
calculated volume = 203.1 Å³ per cell
magnetic moment = 1.0 μB/cell
DOS(E_F) = 3.70 states/eV per cell
electronic total energy = -66.839 eV/cell
formation energy without anion corrections = -1.693 eV per atom

---

The highest formation energy without anion corrections belongs to which entry?
SrTc2TeO8